Below is a geometry-optimized Cd6PdAu5 structure, with properties calculated at the PBE level.

The formation enthalpy at 0 K is -212 meV/atom. The total magnetic moment comes out at 0.000 μB per formula unit.

abc: 8.1094 4.8782 7.7237
angles: 71.59 78.91 52.47
Last column: nearest neighbours and their distance in Å.
Sites, in units of the cell vectors:
1 Cd 0.2454 0.9172 0.6738  1 Pd 2.86, 7 Au 2.89-2.97, 1 Cd 3.16
2 Cd 0.7522 0.7478 0.0000  2 Pd 2.90-2.93, 6 Au 2.90-2.98, 2 Cd 3.19-3.24
3 Au 0.0000 0.6655 0.6690  8 Cd 2.89-2.97, 2 Au 3.22
4 Cd 0.7546 0.4090 0.6738  1 Pd 2.86, 7 Au 2.89-2.97, 1 Cd 3.16
5 Au 0.5000 0.5000 0.0000  8 Cd 2.90-2.94, 2 Pd 3.22
6 Au 0.5000 0.1709 0.6581  8 Cd 2.92-2.98, 2 Au 3.22
7 Cd 0.2454 0.5910 0.3262  1 Pd 2.86, 7 Au 2.89-2.97, 1 Cd 3.16
8 Au 0.0000 0.3345 0.3310  8 Cd 2.89-2.97, 2 Au 3.22
9 Cd 0.7546 0.0828 0.3262  1 Pd 2.86, 7 Au 2.89-2.97, 1 Cd 3.16
10 Au 0.5000 0.8291 0.3419  8 Cd 2.92-2.98, 2 Au 3.22
11 Pd 0.0000 0.0000 0.0000  8 Cd 2.86-2.93
12 Cd 0.2478 0.2522 0.0000  2 Pd 2.90-2.93, 6 Au 2.90-2.98, 2 Cd 3.19-3.24